# 1
Crystalline Y2In8Rh at its relaxed geometry, computed with PBE.

Cell and atoms, written as extended XYZ:
```
11
Lattice="4.6519 0.0000 0.0000 0.0000 4.6519 0.0000 0.0000 0.0000 12.1684" Properties=species:S:1:pos:R:3 pbc="T T T"
Y 0.0000 0.0000 2.3194
Y 0.0000 0.0000 9.8490
In 0.0000 2.3259 0.0000
In 0.0000 2.3259 4.5902
In 0.0000 2.3259 7.5782
In 2.3259 0.0000 0.0000
In 2.3259 0.0000 4.5902
In 2.3259 0.0000 7.5782
In 2.3259 2.3259 2.3239
In 2.3259 2.3259 9.8446
Rh 0.0000 0.0000 6.0842
```

Calculated values
Energy of formation ... -0.42 eV/atom

# 2
Crystalline MgAgTe4 at its relaxed geometry, computed with PBE.

Cell and atoms, written as extended XYZ:
```
6
Lattice="0.0000 4.5095 4.5095 4.5095 0.0000 4.5095 4.5095 4.5095 0.0000" Properties=species:S:1:pos:R:3 pbc="T T T"
Mg 0.0000 0.0000 0.0000
Ag 2.2547 2.2547 2.2547
Te 5.6380 3.3810 3.3810
Te 3.3810 5.6380 3.3810
Te 3.3810 3.3810 5.6380
Te 5.6380 5.6380 5.6380
```

Calculated values
Formation energy without anion corrections ... 0.394 eV/atom

# 3
Crystalline CsBaSr2Ga at its relaxed geometry, computed with PBE.

Cell and atoms, written as extended XYZ:
```
5
Lattice="6.5315 0.0000 0.0000 0.0000 6.5315 0.0000 0.0000 0.0000 6.6907" Properties=species:S:1:pos:R:3 pbc="T T T"
Cs 0.0000 0.0000 0.0000
Ba 3.2658 3.2658 0.0000
Sr 0.0000 3.2658 3.3453
Sr 3.2658 0.0000 3.3453
Ga 3.2658 3.2658 3.3453
```

Calculated values
Energy of formation ... -0.04 eV/atom

# 4
Crystalline LaAsO4 at its relaxed geometry, computed with PBE.

Cell and atoms, written as extended XYZ:
```
12
Lattice="-3.7336 3.7336 3.3095 3.7336 -3.7336 3.3095 3.7336 3.7336 -3.3095" Properties=species:S:1:pos:R:3 pbc="T T T"
La 3.7336 1.8668 0.8274
La 0.0000 1.8668 2.4821
As 3.7336 -1.8668 2.4821
As 0.0000 5.6005 0.8274
O 3.7336 -0.5414 1.3796
O 3.7336 3.1922 -1.3796
O 1.3254 1.8668 0.2751
O 2.4082 -1.8668 3.5846
O 1.3254 5.6005 -0.2751
O 2.4082 1.8668 3.0344
O 0.0000 0.5414 4.6891
O 0.0000 4.2750 1.9298
```

Calculated values
Formation energy without anion corrections ... -2.377 eV/atom

# 5
Crystalline KNaLiIn2 at its relaxed geometry, computed with PBE.

Cell and atoms, written as extended XYZ:
```
5
Lattice="5.3517 0.0000 0.0000 0.0000 5.3517 0.0000 0.0000 0.0000 5.7395" Properties=species:S:1:pos:R:3 pbc="T T T"
K 0.0000 0.0000 0.0000
Na 2.6758 2.6758 0.0000
Li 2.6758 2.6758 2.8697
In 0.0000 2.6758 2.8697
In 2.6758 0.0000 2.8697
```

Calculated values
Energy of formation ... 0.00 eV/atom

# 6
Crystalline Ba2HgRuF at its relaxed geometry, computed with PBE.

Cell and atoms, written as extended XYZ:
```
5
Lattice="6.4583 0.0000 0.0000 0.0000 6.4583 0.0000 0.0000 0.0000 5.0005" Properties=species:S:1:pos:R:3 pbc="T T T"
Ba 0.0000 3.2291 0.0000
Ba 3.2291 0.0000 0.0000
Hg 0.0000 0.0000 0.0000
Ru 0.0000 0.0000 2.5003
F 3.2291 3.2291 2.5003
```

Calculated values
Formation energy without anion corrections ... -0.111 eV/atom

# 7
Crystalline Ti2Bi2O at its relaxed geometry, computed with PBE.

Cell and atoms, written as extended XYZ:
```
5
Lattice="-2.7851 2.7851 3.8301 2.7851 -2.7851 3.8301 2.7851 2.7851 -3.8301" Properties=species:S:1:pos:R:3 pbc="T T T"
Ti 2.7851 0.0000 1.9151
Ti 0.0000 2.7851 1.9151
Bi 0.0000 0.0000 1.5751
Bi 0.0000 0.0000 6.0852
O 0.0000 0.0000 3.8301
```

Calculated values
Distance to the lowest polymorph of the same formula ... 147 meV per atom
Formation energy without anion corrections ... 0.318 eV/atom

# 8
Crystalline Tb2NdSn2 at its relaxed geometry, computed with PBE.

Cell and atoms, written as extended XYZ:
```
5
Lattice="3.2622 -3.2670 0.0000 3.2622 3.2670 0.0000 -3.2353 0.0000 7.0442" Properties=species:S:1:pos:R:3 pbc="T T T"
Tb 3.2622 1.6324 0.0000
Tb 3.2622 -1.6324 0.0000
Nd -1.6177 0.0000 3.5221
Sn 1.6285 0.0000 2.1228
Sn 1.6606 0.0000 4.9214
```

Calculated values
Energy of formation ... -0.51 eV/atom

# 9
Crystalline LiBiB at its relaxed geometry, computed with PBE.

Cell and atoms, written as extended XYZ:
```
6
Lattice="5.9602 0.0000 0.0000 0.0000 3.6028 0.0000 -1.8645 0.0000 5.6845" Properties=species:S:1:pos:R:3 pbc="T T T"
Li 0.9027 0.0000 1.2358
Li 3.1930 0.0000 4.4487
Bi 0.0802 0.0000 4.2586
Bi 4.0156 0.0000 1.4259
B -1.2259 1.8014 5.2192
B 5.3217 1.8014 0.4654
```

Calculated values
Distance to the lowest polymorph of the same formula ... 194 meV per atom
Energy of formation ... 0.14 eV/atom

# 10
Crystalline RbSrWN3 at its relaxed geometry, computed with PBE.

Cell and atoms, written as extended XYZ:
```
12
Lattice="6.4840 -1.7862 0.0000 6.4840 1.7862 0.0000 -5.6311 0.0000 10.0479" Properties=species:S:1:pos:R:3 pbc="T T T"
Rb -1.2203 0.0000 4.9495
Rb 8.5571 0.0000 5.0985
Sr 1.3238 0.0000 1.6676
Sr 6.0131 0.0000 8.3803
W 4.8742 0.0000 1.8193
W 2.4627 0.0000 8.2286
N -4.0372 0.0000 9.1483
N 0.8744 0.0000 7.2778
N 3.5340 0.0000 3.0230
N 3.8028 0.0000 7.0249
N 6.4624 0.0000 2.7701
N 11.3741 0.0000 0.8996
```

Calculated values
Formation energy without anion corrections ... -0.604 eV/atom

no.,Fermi-level density of states (states/eV/f.u.),spin magnetization (μB/cell),E_tot (eV per atom)
1,5.8,0.0,-4.2523
2,1.9,0.0,-2.4415
3,6.4,0.0,-1.8710
4,0.0,0.0,-7.2786
5,2.5,0.0,-1.9572
6,5.3,1.2,-3.1703
7,3.2,0.0,-5.3844
8,4.6,0.0,-4.9163
9,0.6,0.0,-4.0132
10,0.0,0.0,-7.3674